(1)
DFT (PBE-GGA) results for crystalline TaSnSbF2 at its relaxed geometry.

Output
For the total moment, the calculation gives 0.18 μB/atom. The formation energy (no corrections) is -1.035 eV/atom. As for the space group: P4/mmm (123). The electronic total energy comes out at -28.89 eV for the cell shown.

Lattice parameters (Å, degrees): 4.156 5.870 4.156 90.00 90.00 90.00
Fractional positions:
Sb1 0.500 0.500 0.500
Sn1 0.000 0.500 0.000
F1 0.000 0.000 0.500
Ta1 0.000 0.000 0.000
F2 0.500 0.000 0.000

(2)
DFT (PBE-GGA) results for crystalline K3RbMn4I12 at its relaxed geometry.

Output
For the total moment, the calculation gives 1.00 μB/atom. The formation energy (no corrections) is -0.773 eV/atom. As for the space group: R32 (155). The electronic total energy comes out at -75.01 eV for the cell shown.

Lattice parameters (Å, degrees): 10.833 10.833 10.833 103.82 103.82 103.82
Fractional positions:
I1 0.664 0.807 0.046
Mn1 0.500 0.500 0.500
K1 0.459 0.000 0.541
I2 0.104 0.896 0.500
I3 0.896 0.500 0.104
K2 0.541 0.459 0.000
I4 0.500 0.104 0.896
Mn2 0.951 0.049 0.500
I5 0.193 0.336 0.954
Mn3 0.049 0.500 0.951
I6 0.653 0.500 0.347
I7 0.807 0.046 0.664
I8 0.500 0.347 0.653
I9 0.336 0.954 0.193
K3 0.000 0.541 0.459
Rb1 0.000 0.000 0.000
I10 0.347 0.653 0.500
Mn4 0.500 0.951 0.049
I11 0.954 0.193 0.336
I12 0.046 0.664 0.807

(3)
DFT (PBE-GGA) results for crystalline HoZrGaRh at its relaxed geometry.

Output
For the total moment, the calculation gives 0.00 μB/atom. As for the space group: F-43m (216). The electronic total energy comes out at -25.81 eV for the cell shown. The calculation puts the energy of formation at -2.31 eV/f.u.

Lattice parameters (Å, degrees): 4.827 4.827 4.827 60.00 60.00 60.00
Fractional positions:
Ho1 0.000 0.000 0.000
Rh1 0.750 0.750 0.750
Zr1 0.500 0.500 0.500
Ga1 0.250 0.250 0.250

- The highest total moment belongs to which entry?
  K3RbMn4I12